# 1
## Hg2RuBr8 (PBE)

Data for crystalline Hg2RuBr8 at its relaxed geometry.

It has space group C2/m (No. 12), with a = 15.638 Å, b = 7.695 Å, c = 6.895 Å, α = 90.00°, β = 93.83° and γ = 90.00°. Symmetry generates all atoms from Hg at (0.173, 0.000, 0.136), Ru at (0.000, 0.000, 0.500), Br at (0.059, 0.228, 0.283), Br at (0.138, 0.000, 0.696) and Br at (0.170, 0.500, 0.907).

As for the calculated volume: 828 Å³ per cell. Its uncorrected formation energy is -307 meV per atom. As for the crystal system: monoclinic. As for the density of states at the Fermi level: 1.49 states/eV/cell.

---

# 2
## Pr5Tm4Cd (PBE)

Data for crystalline Pr5Tm4Cd at its relaxed geometry.

It has space group P4/mmm (No. 123), with a = 3.654 Å, b = 3.654 Å, c = 24.224 Å, α = 90.00°, β = 90.00° and γ = 90.00°. Symmetry generates all atoms from Pr at (0.000, 0.000, 0.000), Pr at (0.000, 0.000, 0.204), Pr at (0.000, 0.000, 0.411), Tm at (0.500, 0.500, 0.102), Tm at (0.500, 0.500, 0.307) and Cd at (0.500, 0.500, 0.500).

Its formation energy from the elements is -0.04 eV/atom. As for the calculated volume: 323 Å³ per cell. As for the crystal system: tetragonal. As for the density of states at the Fermi level: 13.67 states/eV/cell.

---

# 3
## Ag2Hg (PBE)

Data for crystalline Ag2Hg at its relaxed geometry.

It has space group I4/mmm (No. 139), with a = 3.000 Å, b = 3.000 Å, c = 13.030 Å, α = 90.00°, β = 90.00° and γ = 90.00°. Symmetry generates all atoms from Ag at (0.000, 0.000, 0.172) and Hg at (0.000, 0.000, 0.500).

Its formation energy from the elements is 0.07 eV/atom. For the energy above the most stable polymorph in this dataset, the calculation gives 0.016 eV/atom. As for the calculated volume: 117 Å³ per cell. As for the crystal system: tetragonal. As for the density of states at the Fermi level: 1.64 states/eV/cell.

---

# 4
## BaCe2NiS5 (PBE)

Data for crystalline BaCe2NiS5 at its relaxed geometry.

It has space group I4/mcm (No. 140), with a = 7.747 Å, b = 7.747 Å, c = 13.228 Å, α = 90.00°, β = 90.00° and γ = 90.00°. Symmetry generates all atoms from Ba at (0.000, 0.000, 0.250), Ce at (0.163, 0.337, 0.000), Ni at (0.000, 0.500, 0.250), S at (0.000, 0.000, 0.000) and S at (0.147, 0.353, 0.367).

As for the calculated volume: 794 Å³ per cell. Its uncorrected formation energy is -1717 meV per atom. As for the crystal system: tetragonal. As for the density of states at the Fermi level: 24.90 states/eV/cell.

---

# 5
## Ca3NbO6 (PBE)

Data for crystalline Ca3NbO6 at its relaxed geometry.

It has space group R-3 (No. 148, hexagonal axes), with a = 9.5748 Å, b = 9.5748 Å, c = 11.1824 Å, α = 90.00°, β = 90.00° and γ = 120.00°. Symmetry generates all atoms from Ca at (0.0401, 0.7717, 0.2055), Nb at (0.0000, 0.0000, 0.0000), Nb at (0.0000, 0.0000, 0.5000), O at (0.0261, 0.8461, 0.8914) and O at (0.0290, 0.8371, 0.4035).

As for the calculated volume: 888 Å³ per cell. Its uncorrected formation energy is -2722 meV per atom. As for the crystal system: trigonal. As for the density of states at the Fermi level: 52.80 states/eV/cell.

---

# 6
## KInGaBr3 (PBE)

Data for crystalline KInGaBr3 at its relaxed geometry.

It has space group P2_1/m (No. 11), with a = 9.394 Å, b = 4.555 Å, c = 11.132 Å, α = 90.00°, β = 101.65° and γ = 90.00°. Symmetry generates all atoms from K at (0.168, 0.250, 0.189), In at (0.335, 0.750, 0.848), Ga at (0.163, 0.250, 0.622), Br at (0.100, 0.250, 0.886), Br at (0.144, 0.750, 0.434) and Br at (0.408, 0.750, 0.121).

As for the calculated volume: 467 Å³ per cell. Its uncorrected formation energy is -952 meV per atom. As for the crystal system: monoclinic. As for the density of states at the Fermi level: 0.00 states/eV/cell.

---

# 7
## ReSi2Rh (PBE)

Data for crystalline ReSi2Rh at its relaxed geometry.

It has space group Cmmm (No. 65), with a = 3.032 Å, b = 4.843 Å, c = 7.663 Å, α = 90.00°, β = 90.00° and γ = 90.00°. Symmetry generates all atoms from Re at (0.000, 0.000, 0.000), Si at (0.000, 0.500, 0.254) and Rh at (0.000, 0.000, 0.500).

For the energy above the most stable polymorph in this dataset, the calculation gives 0.305 eV/atom. As for the calculated volume: 113 Å³ per cell. Its uncorrected formation energy is -141 meV per atom. As for the crystal system: orthorhombic. As for the density of states at the Fermi level: 4.58 states/eV/cell.

---

# 8
## KSe3N (PBE)

Data for crystalline KSe3N at its relaxed geometry.

It has space group Pm-3m (No. 221), with a = 4.634 Å, b = 4.634 Å, c = 4.634 Å, α = 90.00°, β = 90.00° and γ = 90.00°. Symmetry generates all atoms from K at (0.000, 0.000, 0.000), Se at (0.000, 0.500, 0.500) and N at (0.500, 0.500, 0.500).

For the energy above the most stable polymorph in this dataset, the calculation gives 0.000 eV/atom. As for the calculated volume: 99 Å³ per cell. Its uncorrected formation energy is 510 meV per atom. As for the crystal system: cubic. As for the density of states at the Fermi level: 2.93 states/eV/cell.

---

no.,calculated total energy (eV per atom)
1,-2.4215
2,-4.3070
3,-1.9350
4,-6.1847
5,-7.3044
6,-2.9320
7,-7.8029
8,-3.4649